# GaB2Au2 (PBEsol, relaxed)
# Formation enthalpy at 0 K in eV per atom: 0.5511
# Total moment in μB per formula unit: 0.0
# Crystal system: tetragonal
# N(E_F) in states/eV per cell: 4.386
data_GaB2Au2
_chemical_formula_sum 'Ga2 B4 Au4'
_space_group_name_H-M_alt 'I 4/m m m'
_space_group_IT_number 139
_space_group_name_Hall '-I 4 2'
_cell_length_a 2.912
_cell_length_b 2.912
_cell_length_c 15.008
_cell_angle_alpha 90.00
_cell_angle_beta 90.00
_cell_angle_gamma 90.00
loop_
_atom_site_label
_atom_site_fract_x
_atom_site_fract_y
_atom_site_fract_z
_atom_site_occupancy
Ga1 0.000 0.000 0.000 1
B1 0.000 0.500 0.250 1
Au1 0.000 0.000 0.372 1